1.
The following is a GGA-PBEsol calculation of crystalline Mg14ZnCuO16 at its relaxed geometry, from the Alexandria database.

Unit cell a=4.213 b=8.440 c=8.451 alpha=90.00 beta=90.00 gamma=90.00
Fractional positions:
Mg 0.000 0.000 0.000
Mg 0.000 0.249 0.251
Mg 0.000 0.249 0.749
Mg 0.000 0.500 0.000
Mg 0.000 0.751 0.251
Mg 0.000 0.751 0.749
Mg 0.500 0.000 0.251
Mg 0.500 0.000 0.749
Mg 0.500 0.249 0.500
Mg 0.500 0.250 0.000
Mg 0.500 0.500 0.250
Mg 0.500 0.500 0.750
Mg 0.500 0.750 0.000
Mg 0.500 0.751 0.500
Zn 0.000 0.500 0.500
Cu 0.000 0.000 0.500
O 0.000 0.000 0.247
O 0.000 0.000 0.753
O 0.000 0.250 0.000
O 0.000 0.250 0.500
O 0.000 0.500 0.247
O 0.000 0.500 0.753
O 0.000 0.750 0.000
O 0.000 0.750 0.500
O 0.500 0.000 0.000
O 0.500 0.000 0.500
O 0.500 0.250 0.251
O 0.500 0.250 0.749
O 0.500 0.500 0.000
O 0.500 0.500 0.500
O 0.500 0.750 0.251
O 0.500 0.750 0.749

Properties
- total moment (μB/f.u.) = 0.7
- energy relative to the elements, uncorrected (meV/atom) = -2509
- Fermi-level density of states (states/eV/cell) = 4.5
- SG = Pmmm, No. 47
- raw total energy (eV/atom) = -6.07
- V (Å³/atom) = 9.390



2.
The following is a GGA-PBEsol calculation of crystalline MgZnCu2O at its relaxed geometry, from the Alexandria database.

Unit cell a=4.088 b=4.088 c=3.885 alpha=90.00 beta=90.00 gamma=90.00
Fractional positions:
Mg 0.000 0.000 0.000
Zn 0.500 0.500 0.000
Cu 0.000 0.500 0.500
Cu 0.500 0.000 0.500
O 0.000 0.000 0.500

Properties
- total moment (μB/f.u.) = 0.0
- energy relative to the elements, uncorrected (meV/atom) = -351
- Fermi-level density of states (states/eV/cell) = 1.3
- SG = P4/mmm, No. 123
- raw total energy (eV/atom) = -3.79
- V (Å³/atom) = 12.983



3.
The following is a GGA-PBEsol calculation of crystalline MgCuOs2 at its relaxed geometry, from the Alexandria database.

Unit cell a=2.763 b=3.737 c=5.503 alpha=90.00 beta=90.00 gamma=90.00
Fractional positions:
Mg 0.000 0.000 0.000
Cu 0.500 0.500 0.775
Os 0.000 0.000 0.500
Os 0.500 0.500 0.301

Properties
- total moment (μB/f.u.) = 0.0
- ΔH_f (0 K) (eV per atom) = 0.19
- Fermi-level density of states (states/eV/cell) = 1.6
- SG = Pmm2, No. 25
- raw total energy (eV/atom) = -7.44
- V (Å³/atom) = 14.204



4.
The following is a GGA-PBEsol calculation of crystalline MgCu2Os at its relaxed geometry, from the Alexandria database.

Unit cell a=2.614 b=2.614 c=8.639 alpha=90.00 beta=90.00 gamma=112.89
Fractional positions:
Mg 0.000 0.000 0.000
Cu 0.500 0.500 0.252
Cu 0.500 0.500 0.748
Os 0.000 0.000 0.500

Properties
- total moment (μB/f.u.) = 0.0
- ΔH_f (0 K) (eV per atom) = 0.35
- Fermi-level density of states (states/eV/cell) = 2.3
- SG = Cmmm, No. 65
- raw total energy (eV/atom) = -5.30
- V (Å³/atom) = 13.596



5.
The following is a GGA-PBEsol calculation of crystalline MgCuOs2 at its relaxed geometry, from the Alexandria database.

Unit cell a=4.385 b=4.385 c=4.385 alpha=124.52 beta=124.52 gamma=82.33
Fractional positions:
Mg 0.000 0.000 0.000
Cu 0.250 0.750 0.500
Os 0.500 0.500 0.000
Os 0.750 0.250 0.500

Properties
- total moment (μB/f.u.) = 0.0
- ΔH_f (0 K) (eV per atom) = 0.28
- Fermi-level density of states (states/eV/cell) = 2.5
- SG = I-4m2, No. 119
- raw total energy (eV/atom) = -7.34
- V (Å³/atom) = 13.753



6.
The following is a GGA-PBEsol calculation of crystalline Mg2CuOs at its relaxed geometry, from the Alexandria database.

Unit cell a=2.727 b=2.727 c=8.947 alpha=90.00 beta=90.00 gamma=111.62
Fractional positions:
Mg 0.000 0.000 0.000
Mg 0.500 0.500 0.294
Cu 0.000 0.000 0.529
Os 0.500 0.500 0.756

Properties
- total moment (μB/f.u.) = 0.0
- ΔH_f (0 K) (eV per atom) = 0.34
- Fermi-level density of states (states/eV/cell) = 2.7
- SG = Cmm2, No. 35
- raw total energy (eV/atom) = -4.66
- V (Å³/atom) = 15.464